Model one:
7
Lattice="4.172 0.000 -1.141 -0.694 7.051 -2.539 0.050 -1.039 8.381" Properties=species:S:1:pos:R:3 comment="TbEr2Te4, optimized geometry, DFT PBE" dos_ef_per_ev_atom=0.45 pbc="T T T"
Tb 0.000 0.000 0.000
Te 3.554 0.707 4.797
Te 1.088 4.207 3.980
Te -0.026 5.305 -0.097
Te 2.439 1.804 0.721
Er 0.923 1.166 3.375
Er 2.605 4.845 1.326


Model two:
14
Lattice="4.228 0.000 0.000 -2.114 7.114 0.000 0.000 0.000 14.860" Properties=species:S:1:pos:R:3 comment="TbEr2Te4, optimized geometry, DFT PBE" dos_ef_per_ev_atom=0.43 pbc="T T T"
Te 0.000 0.466 3.715
Te 2.114 3.952 5.631
Te 2.114 3.952 1.799
Te 2.114 0.000 0.000
Te 0.000 3.162 9.229
Te 0.000 3.162 13.060
Te 2.114 0.000 7.430
Te 2.114 6.648 11.145
Er 0.000 1.866 6.399
Er 2.114 5.247 13.829
Er 0.000 1.866 1.031
Er 2.114 5.247 8.461
Tb 0.000 5.292 3.715
Tb 2.114 1.822 11.145


Ranked by calculated energy, most stable first: model one, model two.


Model one:
12
Lattice="-1.944 2.696 -1.395 -4.673 -2.566 1.553 1.615 8.311 18.596" Properties=species:S:1:pos:R:3 comment="Tb3Er7Th2, optimized geometry, DFT PBE" dos_ef_per_ev_atom=1.78 pbc="T T T"
Er -5.544 0.412 3.852
Er -1.971 4.233 10.991
Er -3.031 4.209 7.763
Er -2.744 8.445 15.626
Er 0.542 8.029 14.901
Er 0.000 0.000 0.000
Er -2.258 -0.003 3.128
Tb -3.309 0.065 0.079
Tb -0.542 7.702 11.098
Tb 0.213 3.305 6.103
Th -3.140 2.727 4.985
Th -1.862 5.715 13.769


Model two:
12
Lattice="-1.013 4.266 1.454 -1.383 -1.962 4.795 15.801 2.826 2.716" Properties=species:S:1:pos:R:3 comment="Tb3Er7Th2, optimized geometry, DFT PBE" dos_ef_per_ev_atom=1.54 pbc="T T T"
Er 0.000 0.000 0.000
Er 8.193 1.001 2.773
Er 1.883 2.425 1.536
Er 12.702 1.551 4.298
Er 1.716 -0.687 3.212
Er 6.225 -0.136 4.738
Er 11.522 2.706 7.428
Th 9.621 0.279 5.887
Th 4.797 0.586 1.623
Tb 9.984 3.414 4.277
Tb -1.198 1.152 3.124
Tb 3.421 1.716 4.687


Ranked by calculated energy, most stable first: model one, model two.